Crystalline LiMnPO4 at its relaxed geometry, computed with PBE with a Hubbard U.

As for the density of states at the Fermi level: 0.00 states/eV per cell. The calculation puts the energy above the most stable polymorph in this dataset at 0.0772 eV per atom. The value obtained for the spin magnetization is 5.0 μB per formula unit.

It has space group Cmcm (No. 63), with a = 5.6497 Å, b = 8.4439 Å, c = 6.4111 Å, α = 90.00°, β = 90.00° and γ = 90.00°. The inequivalent atoms are Li at (0.0000, 0.0000, 0.0000), Mn at (0.0000, 0.3185, 0.2500), P at (0.0000, 0.3497, 0.7500), O at (0.0000, 0.2405, 0.5559) and O at (0.2216, 0.4609, 0.7500).